The following is a DFT calculation (PBE) of an optimized crystal structure of Nd7Y12Er.

Results
Space group: R-3 (148)
Energy relative to the elements: 445 kJ/mol of formula units
Offset from the most stable computed form: 0 meV per atom

Cell and atoms, written as extended XYZ:
```
20
Lattice="8.531 1.315 1.973 -1.109 8.560 1.973 -1.109 -1.476 8.660" Properties=species:S:1:pos:R:3 pbc="T T T"
Nd 5.528 4.911 10.831
Nd 0.065 0.835 3.902
Nd 3.180 7.425 10.332
Nd 3.132 0.974 2.274
Nd 6.247 7.563 8.704
Nd 0.784 3.488 1.775
Nd 3.156 4.199 6.303
Y 6.215 2.201 8.497
Y 3.411 5.718 3.380
Y 2.901 2.681 9.226
Y 6.380 4.867 6.028
Y 5.926 3.093 3.259
Y 4.989 7.915 5.304
Y 0.097 6.197 4.110
Y 1.323 0.484 7.302
Y 4.544 1.245 5.793
Y -0.068 3.532 6.578
Y 0.386 5.306 9.347
Y 1.769 7.154 6.813
Er 0.000 0.000 0.000
```



The following is a DFT calculation (PBE) of an optimized crystal structure of Nd3Y7Er.

Results
Space group: P2/m (10)
Energy relative to the elements: 149 kJ/mol of formula units
Offset from the most stable computed form: 0 meV per atom

Cell and atoms, written as extended XYZ:
```
11
Lattice="4.716 -0.129 -2.939 -1.050 10.011 -2.127 -1.093 -0.854 8.788" Properties=species:S:1:pos:R:3 pbc="T T T"
Y 0.184 1.616 0.224
Y 1.811 -0.491 2.925
Y 2.388 7.413 3.498
Y -0.073 5.602 4.887
Y -0.355 2.316 4.579
Y 2.927 6.712 -0.857
Y 2.645 3.427 -1.164
Er 1.286 4.514 1.861
Nd 2.093 9.673 -2.328
Nd 0.479 -0.644 6.051
Nd -0.525 5.006 -1.063
```



The following is a DFT calculation (PBE) of an optimized crystal structure of NdY2Er3.

Results
Space group: C2/c (15)
Energy relative to the elements: 14 kJ/mol of formula units
Offset from the most stable computed form: 0 meV per atom

Cell and atoms, written as extended XYZ:
```
12
Lattice="6.154 0.088 -0.219 -0.188 6.619 -2.607 0.357 -0.111 9.406" Properties=species:S:1:pos:R:3 pbc="T T T"
Y 3.608 3.604 1.605
Y 2.716 2.992 4.975
Y 5.840 1.383 5.517
Y 0.484 5.214 1.063
Er 1.468 2.507 -1.033
Er 3.702 0.295 2.914
Er 5.745 4.689 4.209
Er 2.621 6.301 3.666
Er 0.578 1.908 2.371
Er 4.499 4.201 -1.793
Nd 1.374 5.814 -2.336
Nd 4.592 0.893 -0.490
```



The following is a DFT calculation (PBE) of an optimized crystal structure of NdY6Er12.

Results
Space group: R-3 (148)
Energy relative to the elements: 299 kJ/mol of formula units
Offset from the most stable computed form: 0 meV per atom

Cell and atoms, written as extended XYZ:
```
19
Lattice="-2.225 7.639 2.987 1.028 -2.621 8.019 8.100 2.571 0.007" Properties=species:S:1:pos:R:3 pbc="T T T"
Er 5.907 4.365 9.897
Er 3.851 7.197 9.233
Er -0.060 0.769 3.470
Er 0.997 3.225 1.115
Er 4.524 2.015 4.332
Er 5.473 5.007 5.132
Er 3.053 0.392 1.779
Er 2.380 5.575 6.680
Er 2.661 4.874 3.530
Er 4.243 2.715 7.482
Er 1.430 2.583 5.880
Er 6.963 6.820 7.542
Y 4.327 8.035 5.270
Y 7.433 2.816 6.920
Y 2.576 -0.446 5.742
Y 5.051 3.476 1.488
Y -0.529 4.773 4.092
Y 1.853 4.113 9.524
Nd 0.000 0.000 0.000
```



The following is a DFT calculation (PBE) of an optimized crystal structure of Nd12Y5Er2.

Results
Space group: C2/m (12)
Energy relative to the elements: 294 kJ/mol of formula units
Offset from the most stable computed form: 27 meV per atom

Cell and atoms, written as extended XYZ:
```
19
Lattice="7.575 0.000 0.000 -3.788 8.784 4.033 0.000 0.479 10.049" Properties=species:S:1:pos:R:3 pbc="T T T"
Y 3.788 5.789 4.354
Y 3.788 3.537 9.559
Y 0.000 5.726 4.524
Y 0.000 0.240 5.024
Y 0.000 3.474 9.728
Nd -1.977 6.136 7.680
Nd 0.000 0.425 7.979
Nd 1.881 2.891 2.826
Nd -1.906 6.372 11.256
Nd 3.788 8.839 6.103
Nd 1.977 6.136 7.680
Nd 3.788 0.458 6.816
Nd 0.000 8.805 7.266
Nd 5.694 2.891 2.826
Nd 5.765 3.127 6.402
Nd 1.906 6.372 11.256
Nd 1.810 3.127 6.402
Er 5.307 0.000 0.000
Er 2.268 0.000 0.000
```



The following is a DFT calculation (PBE) of an optimized crystal structure of NdY8Er6.

Results
Space group: R-3 (148)
Energy relative to the elements: 199 kJ/mol of formula units
Offset from the most stable computed form: 0 meV per atom

Cell and atoms, written as extended XYZ:
```
15
Lattice="-3.270 8.398 0.429 -7.661 1.635 4.476 -0.044 4.452 7.392" Properties=species:S:1:pos:R:3 pbc="T T T"
Y -7.761 6.374 8.355
Y -3.215 8.111 3.941
Y -6.093 4.036 6.526
Y -4.883 10.449 5.771
Y -6.317 6.987 4.823
Y -3.008 5.155 5.618
Y -4.659 7.498 7.474
Y -7.968 9.330 6.679
Er -8.835 12.655 10.318
Er -2.141 1.830 1.979
Er -4.889 3.368 3.401
Er -6.086 11.116 8.895
Er -2.598 5.236 1.609
Er -8.378 9.249 10.687
Nd 0.000 0.000 0.000
```